No. 1
# PBE Tb2NdIn4, relaxed
data_Tb2NdIn4
_cell_length_a 9.8855
_cell_length_b 9.8855
_cell_length_c 9.8855
_cell_angle_alpha 152.38
_cell_angle_beta 152.38
_cell_angle_gamma 39.45
_space_group_name_H-M_alt 'P 1'
_space_group_IT_number 1
_space_group_name_Hall 'P 1'
loop_
_atom_site_label
_atom_site_fract_x
_atom_site_fract_y
_atom_site_fract_z
Tb1 0.2490 0.2490 0.0000
Tb2 0.7510 0.7510 0.0000
Nd1 0.0000 0.0000 0.0000
In1 0.1241 0.6241 0.5000
In2 0.3759 0.8759 0.5000
In3 0.6241 0.1241 0.5000
In4 0.8759 0.3759 0.5000
# Volume = 207.2 Å³/cell
# Raw total energy = -3.8537 eV per atom
# N(E_F) = 6.6 states/eV/cell
# Spin magnetization = 0.00 μB per cell

No. 2
# PBE Tb2Nd6In, relaxed
data_Tb2Nd6In
_cell_length_a 10.8766
_cell_length_b 10.8766
_cell_length_c 5.0156
_cell_angle_alpha 90.00
_cell_angle_beta 90.00
_cell_angle_gamma 90.00
_space_group_name_H-M_alt 'P 1'
_space_group_IT_number 1
_space_group_name_Hall 'P 1'
loop_
_atom_site_label
_atom_site_fract_x
_atom_site_fract_y
_atom_site_fract_z
Tb1 0.1617 0.1617 0.0000
Tb2 0.3383 0.6617 0.5000
Tb3 0.6617 0.3383 0.5000
Tb4 0.8383 0.8383 0.0000
Nd1 0.0025 0.6673 0.5000
Nd2 0.1589 0.8411 0.0000
Nd3 0.1673 0.4975 0.0000
Nd4 0.3327 0.9975 0.5000
Nd5 0.3411 0.3411 0.5000
Nd6 0.4975 0.1673 0.0000
Nd7 0.5025 0.8327 0.0000
Nd8 0.6589 0.6589 0.5000
Nd9 0.6673 0.0025 0.5000
Nd10 0.8327 0.5025 0.0000
Nd11 0.8411 0.1589 0.0000
Nd12 0.9975 0.3327 0.5000
In1 0.0000 0.0000 0.5000
In2 0.5000 0.5000 0.0000
# Volume = 593.3 Å³/cell
# Raw total energy = -4.5790 eV per atom
# N(E_F) = 27.3 states/eV/cell
# Spin magnetization = 0.00 μB per cell